The following is a PBE calculation of a relaxed structure of SmTiAlPt2, from Alexandria.

a b c (Å): 4.114 4.114 6.477
angles (deg): 108.52 108.52 90.00
Fractional positions:
1 Ti 0.250 0.750 0.500
2 Pt 0.384 0.384 0.769
3 Pt 0.616 0.616 0.231
4 Sm 0.000 0.000 0.000
5 Al 0.750 0.250 0.500

Results
As for the symmetry: I-4m2 (119). As for the calculated total energy: -6.72 eV per atom. The density of states at the Fermi level is 4.8 states/eV/f.u. Its theoretical density is 10.43 g/cm3. For the volume, the calculation gives 19.59 Å³ per atom.

---

The following is a PBE calculation of a relaxed structure of Sr4LiEr3Te8, from Alexandria.

a b c (Å): 8.996 9.077 8.997
angles (deg): 119.70 120.00 90.00
Fractional positions:
1 Te 0.743 0.728 0.485
2 Te 0.759 0.275 0.517
3 Te 0.759 0.275 0.016
4 Te 0.257 0.272 0.515
5 Te 0.241 0.725 0.483
6 Te 0.742 0.725 0.984
7 Te 0.258 0.275 0.016
8 Te 0.241 0.725 0.984
9 Sr 0.500 0.000 0.000
10 Sr 0.000 0.000 0.500
11 Sr 0.500 0.000 0.500
12 Sr 0.000 0.000 0.000
13 Er 0.500 0.500 0.000
14 Er 0.500 0.500 0.500
15 Er 0.000 0.500 0.500
16 Li 0.000 0.500 0.000

Results
As for the symmetry: R-3m (166). As for the calculated total energy: -4.44 eV per atom. The density of states at the Fermi level is 4.2 states/eV/f.u. Its theoretical density is 5.98 g/cm3. For the volume, the calculation gives 32.61 Å³ per atom. The uncorrected formation energy comes out at -1.4779 eV/atom.

---

The following is a PBE calculation of a relaxed structure of CaSc2P, from Alexandria.

a b c (Å): 3.360 3.360 8.709
angles (deg): 90.00 90.00 90.00
Fractional positions:
1 Sc 0.000 0.000 0.914
2 Sc 0.000 0.000 0.586
3 Ca 0.500 0.500 0.250
4 P 0.500 0.500 0.750

Results
As for the symmetry: P4/mmm (123). As for the calculated total energy: -5.49 eV per atom. The density of states at the Fermi level is 5.0 states/eV/f.u. Its theoretical density is 2.72 g/cm3. For the volume, the calculation gives 24.57 Å³ per atom.

---

Which of these has the highest volume?
Sr4LiEr3Te8

---

Which formula does entry 2 have?
Sr4LiEr3Te8